Record 1
! GGA+U CsErMo2O8, optimized geometry; values from VASP
&SYSTEM
  ibrav = 0, nat = 12, ntyp = 4
/
ATOMIC_SPECIES
Cs 132.91 Cs.upf
Er 167.26 Er.upf
Mo 95.94 Mo.upf
O 16.00 O.upf
CELL_PARAMETERS angstrom
6.057 0.000 0.000
-3.028 5.246 0.000
0.000 0.000 8.388
ATOMIC_POSITIONS crystal
Cs 0.000 0.000 0.000
Er 0.000 0.000 0.500
Mo 0.333 0.667 0.271
Mo 0.667 0.333 0.729
O 0.170 0.339 0.339
O 0.170 0.830 0.339
O 0.333 0.667 0.062
O 0.339 0.170 0.661
O 0.661 0.830 0.339
O 0.667 0.333 0.938
O 0.830 0.170 0.661
O 0.830 0.661 0.661
! Magnetic moment   0.0 μB per formula unit
! Crystal system   trigonal
! E_tot   -85.789 eV per cell

***

Record 2
! GGA+U CsErMo2O8, optimized geometry; values from VASP
&SYSTEM
  ibrav = 0, nat = 24, ntyp = 4
/
ATOMIC_SPECIES
Cs 132.91 Cs.upf
Er 167.26 Er.upf
Mo 95.94 Mo.upf
O 16.00 O.upf
CELL_PARAMETERS angstrom
9.837 0.000 0.000
0.000 5.077 0.000
-0.487 0.000 8.094
ATOMIC_POSITIONS crystal
Cs 0.000 0.076 0.250
Cs 0.000 0.924 0.750
Er 0.500 0.002 0.750
Er 0.500 0.998 0.250
Mo 0.310 0.477 0.486
Mo 0.310 0.523 0.986
Mo 0.690 0.477 0.014
Mo 0.690 0.523 0.514
O 0.144 0.395 0.971
O 0.144 0.605 0.471
O 0.320 0.254 0.312
O 0.320 0.746 0.812
O 0.321 0.263 0.664
O 0.321 0.737 0.164
O 0.435 0.246 0.996
O 0.435 0.754 0.496
O 0.565 0.246 0.504
O 0.565 0.754 0.004
O 0.679 0.263 0.836
O 0.679 0.737 0.336
O 0.680 0.254 0.188
O 0.680 0.746 0.688
O 0.856 0.395 0.529
O 0.856 0.605 0.029
! Magnetic moment   0.0 μB per formula unit
! Crystal system   monoclinic
! E_tot   -170.858 eV per cell

***

Record 3
! GGA+U CsErMo2O8, optimized geometry; values from VASP
&SYSTEM
  ibrav = 0, nat = 24, ntyp = 4
/
ATOMIC_SPECIES
Cs 132.91 Cs.upf
Er 167.26 Er.upf
Mo 95.94 Mo.upf
O 16.00 O.upf
CELL_PARAMETERS angstrom
5.473 -5.273 0.000
5.473 5.273 0.000
-5.081 0.000 5.897
ATOMIC_POSITIONS crystal
Cs 0.193 0.807 0.750
Cs 0.807 0.193 0.250
Er 0.227 0.773 0.250
Er 0.773 0.227 0.750
Mo 0.306 0.308 0.270
Mo 0.308 0.306 0.770
Mo 0.692 0.694 0.230
Mo 0.694 0.692 0.730
O 0.054 0.224 0.710
O 0.063 0.368 0.120
O 0.224 0.054 0.210
O 0.244 0.387 0.571
O 0.368 0.063 0.620
O 0.372 0.591 0.040
O 0.387 0.244 0.071
O 0.409 0.628 0.460
O 0.591 0.372 0.540
O 0.613 0.756 0.929
O 0.628 0.409 0.960
O 0.632 0.937 0.380
O 0.756 0.613 0.429
O 0.776 0.946 0.790
O 0.937 0.632 0.880
O 0.946 0.776 0.290
! Magnetic moment   0.0 μB per formula unit
! Crystal system   monoclinic
! E_tot   -169.672 eV per cell

***

Record 4
! GGA+U Cs2ErMoO6, optimized geometry; values from VASP
&SYSTEM
  ibrav = 0, nat = 10, ntyp = 4
/
ATOMIC_SPECIES
Cs 132.91 Cs.upf
Er 167.26 Er.upf
Mo 95.94 Mo.upf
O 16.00 O.upf
CELL_PARAMETERS angstrom
6.785 0.000 0.000
-3.393 5.876 0.000
0.000 0.000 5.805
ATOMIC_POSITIONS crystal
Cs 0.333 0.667 0.361
Cs 0.667 0.333 0.639
Er 0.000 0.000 0.000
Mo 0.000 0.000 0.500
O 0.130 0.259 0.711
O 0.130 0.870 0.711
O 0.259 0.130 0.289
O 0.741 0.870 0.711
O 0.870 0.130 0.289
O 0.870 0.741 0.289
! Magnetic moment   1.0 μB per formula unit
! Crystal system   trigonal
! E_tot   -62.232 eV per cell